Compound: Ag3SeS
Source: Alexandria via LeMat-Bulk
Functional: PBE-GGA
Structure: relaxed

abc: 4.834 4.834 4.834
angles: 90.00 90.00 90.00
Element x y z (fractional)
1 Ag 0.000 0.000 0.500
2 Ag 0.000 0.500 0.000
3 Ag 0.500 0.000 0.000
4 Se 0.500 0.500 0.500
5 S 0.000 0.000 0.000

Calculated values
Energy relative to the elements, uncorrected: 0.23 eV/atom
Calculated total energy: -15.0 eV/cell
Relative energy among the computed polymorphs: 0.233 eV/atom

***

Compound: AsOsRh2
Source: Alexandria via LeMat-Bulk
Functional: PBE-GGA
Structure: relaxed

abc: 8.476 8.476 8.476
angles: 19.37 19.37 19.37
Element x y z (fractional)
1 As 0.000 0.000 0.000
2 Os 0.747 0.747 0.747
3 Rh 0.256 0.256 0.256
4 Rh 0.498 0.498 0.498

Calculated values
Calculated total energy: -29.9 eV/cell
ΔE_f: 0.7 eV/f.u.

***

Compound: HfAsP3
Source: Alexandria via LeMat-Bulk
Functional: PBE-GGA
Structure: relaxed

abc: 4.954 4.954 4.954
angles: 90.00 90.00 90.00
Element x y z (fractional)
1 Hf 0.000 0.000 0.000
2 As 0.500 0.500 0.500
3 P 0.000 0.000 0.500
4 P 0.000 0.500 0.000
5 P 0.500 0.000 0.000

Calculated values
Calculated total energy: -27.5 eV/cell
Relative energy among the computed polymorphs: 0.000 eV/atom
ΔE_f: 3.3 eV/f.u.

***

Compound: IrS2IO8
Source: Alexandria via LeMat-Bulk
Functional: PBE-GGA
Structure: relaxed

abc: 4.838 4.838 10.044
angles: 107.41 107.41 65.31
Element x y z (fractional)
1 Ir 0.000 0.000 0.000
2 S 0.428 0.428 0.165
3 S 0.572 0.572 0.835
4 I 0.000 0.000 0.500
5 O 0.231 0.696 0.846
6 O 0.263 0.263 0.035
7 O 0.304 0.769 0.154
8 O 0.407 0.407 0.301
9 O 0.593 0.593 0.699
10 O 0.696 0.231 0.846
11 O 0.737 0.737 0.965
12 O 0.769 0.304 0.154

Calculated values
Energy relative to the elements, uncorrected: -0.80 eV/atom
Calculated total energy: -68.0 eV/cell